Run a
Here is a geometry-optimized BaCa3V structure from Alexandria. Energies are from GGA-PBE.

Lattice parameters (Å, degrees): 6.035 6.035 6.035 90.00 90.00 90.00
Atoms (fractional coordinates):
Ba 0.000 0.000 0.000
Ca 0.000 0.500 0.500
Ca 0.500 0.000 0.500
Ca 0.500 0.500 0.000
V 0.500 0.500 0.500

Output
M_tot: 4.48 μB/f.u.
crystal system: cubic
SG: Pm-3m (221)

=====

Run b
Here is a geometry-optimized BaCa3V structure from Alexandria. Energies are from GGA-PBE.

Lattice parameters (Å, degrees): 6.008 6.008 6.008 90.00 90.00 90.00
Atoms (fractional coordinates):
Ba 0.000 0.000 0.000
Ca 0.000 0.000 0.500
Ca 0.000 0.500 0.000
Ca 0.500 0.000 0.000
V 0.500 0.500 0.500

Output
M_tot: 1.22 μB/f.u.
crystal system: cubic
SG: Pm-3m (221)

=====

The most stable arrangement is run a, and the next structure is 1.016 eV/atom less stable.

=====

Run a
Here is a geometry-optimized BaCaW2 structure from Alexandria. Energies are from GGA-PBE.

Lattice parameters (Å, degrees): 2.904 2.904 11.019 90.00 90.00 92.62
Atoms (fractional coordinates):
Ba 0.000 0.000 0.000
Ca 0.000 0.000 0.500
W 0.500 0.500 0.266
W 0.500 0.500 0.734

Output
M_tot: 0.00 μB/f.u.
crystal system: orthorhombic
SG: Cmmm (65)

=====

Run b
Here is a geometry-optimized BaCaW2 structure from Alexandria. Energies are from GGA-PBE.

Lattice parameters (Å, degrees): 11.616 11.616 11.616 15.08 15.08 15.08
Atoms (fractional coordinates):
Ba 0.000 0.000 0.000
Ca 0.500 0.500 0.500
W 0.244 0.244 0.244
W 0.756 0.756 0.756

Output
M_tot: 0.00 μB/f.u.
crystal system: trigonal
SG: R-3m (166)

=====

The most stable arrangement is run a, and the next structure is 0.108 eV/atom less stable.

=====

Run a
Here is a geometry-optimized BaCaW2 structure from Alexandria. Energies are from GGA-PBE.

Lattice parameters (Å, degrees): 4.063 4.063 5.516 90.00 90.00 90.00
Atoms (fractional coordinates):
Ba 0.000 0.000 0.000
Ca 0.500 0.500 0.000
W 0.000 0.500 0.500
W 0.500 0.000 0.500

Output
M_tot: 0.00 μB/f.u.
crystal system: tetragonal
SG: P4/mmm (123)

=====

Run b
Here is a geometry-optimized BaCaW2 structure from Alexandria. Energies are from GGA-PBE.

Lattice parameters (Å, degrees): 4.567 4.567 8.680 93.41 93.41 42.25
Atoms (fractional coordinates):
Ba 0.000 0.000 0.000
Ca 0.223 0.223 0.589
W 0.477 0.477 0.363
W 0.757 0.757 0.272

Output
M_tot: 0.00 μB/f.u.
crystal system: monoclinic
SG: Cm (8)

=====

The most stable arrangement is run b, and the next structure is 0.550 eV/atom less stable.